No. 1
Crystalline YRuW at its relaxed geometry, computed with PBE-GGA.

Its space group is Cmcm, No. 63. The energy above the most stable polymorph in this dataset comes out at 113 meV per atom.

Unit cell a=4.286 b=4.507 c=7.302 alpha=90.00 beta=107.07 gamma=90.00
Atoms (fractional coordinates):
W 0.750 0.750 0.501
W 0.250 0.250 0.499
Ru 0.661 0.250 0.321
Ru 0.339 0.750 0.679
Y 0.911 0.250 0.822
Y 0.089 0.750 0.178

No. 2
Crystalline Y2RuW at its relaxed geometry, computed with PBE-GGA.

Its space group is R3m, No. 160. The energy above the most stable polymorph in this dataset comes out at 386 meV per atom.

Unit cell a=9.916 b=9.916 c=9.916 alpha=18.90 beta=18.90 gamma=18.90
Atoms (fractional coordinates):
W 0.763 0.763 0.763
Ru 0.489 0.489 0.489
Y 0.012 0.012 0.012
Y 0.235 0.235 0.235

No. 3
Crystalline YRuW4 at its relaxed geometry, computed with PBE-GGA.

Its space group is F-43m, No. 216.

Unit cell a=5.366 b=5.366 c=5.366 alpha=60.00 beta=60.00 gamma=60.00
Atoms (fractional coordinates):
W 0.376 0.376 0.376
W 0.376 0.873 0.376
W 0.873 0.376 0.376
W 0.376 0.376 0.873
Ru 0.000 0.000 0.000
Y 0.750 0.750 0.750

No. 4
Crystalline Y2RuW at its relaxed geometry, computed with PBE-GGA.

Its space group is P2/m, No. 10. The energy above the most stable polymorph in this dataset comes out at 404 meV per atom.

Unit cell a=4.524 b=3.113 c=5.980 alpha=77.49 beta=90.00 gamma=90.00
Atoms (fractional coordinates):
Y 0.000 0.048 0.007
Y 0.000 0.452 0.493
Ru 0.500 0.250 0.250
W 0.500 0.750 0.750

No. 5
Crystalline Y2RuW at its relaxed geometry, computed with PBE-GGA.

Its space group is P4/mmm, No. 123. The energy above the most stable polymorph in this dataset comes out at 338 meV per atom.

Unit cell a=5.010 b=5.010 c=3.322 alpha=90.00 beta=90.00 gamma=90.00
Atoms (fractional coordinates):
Y 0.500 0.500 0.000
Y 0.000 0.000 0.000
W 0.000 0.500 0.500
Ru 0.500 0.000 0.500

No. 6
Crystalline YRu4W at its relaxed geometry, computed with PBE-GGA.

Its space group is F-43m, No. 216.

Unit cell a=5.188 b=5.188 c=5.188 alpha=60.00 beta=60.00 gamma=60.00
Atoms (fractional coordinates):
Y 0.000 0.000 0.000
Ru 0.375 0.375 0.375
Ru 0.875 0.375 0.375
Ru 0.375 0.875 0.375
Ru 0.375 0.375 0.875
W 0.750 0.750 0.750

No. 7
Crystalline YRuW at its relaxed geometry, computed with PBE-GGA.

Its space group is F-43m, No. 216. The energy above the most stable polymorph in this dataset comes out at 389 meV per atom.

Unit cell a=4.490 b=4.490 c=4.490 alpha=60.00 beta=60.00 gamma=60.00
Atoms (fractional coordinates):
Ru 0.750 0.750 0.750
Y 0.500 0.500 0.500
W 0.000 0.000 0.000

No. 8
Crystalline Y2RuW at its relaxed geometry, computed with PBE-GGA.

Its space group is Imm2, No. 44. The energy above the most stable polymorph in this dataset comes out at 93 meV per atom.

Unit cell a=5.991 b=5.991 c=5.031 alpha=65.16 beta=65.16 gamma=32.22
Atoms (fractional coordinates):
Y 0.988 0.988 0.012
Y 0.774 0.774 0.726
W 0.211 0.211 0.288
Ru 0.527 0.527 0.473

No. 9
Crystalline YRuW at its relaxed geometry, computed with PBE-GGA.

Its space group is P3m1, No. 156. The energy above the most stable polymorph in this dataset comes out at 235 meV per atom.

Unit cell a=4.505 b=4.505 c=3.284 alpha=90.00 beta=90.00 gamma=120.00
Atoms (fractional coordinates):
W 0.667 0.333 0.230
Y 0.333 0.667 0.672
Ru 0.000 0.000 0.097

No. 10
Crystalline Y2RuW at its relaxed geometry, computed with PBE-GGA.

Its space group is C2/m, No. 12. The energy above the most stable polymorph in this dataset comes out at 532 meV per atom.

Unit cell a=4.814 b=4.814 c=5.950 alpha=82.94 beta=82.94 gamma=37.74
Atoms (fractional coordinates):
Y 0.004 0.004 0.992
Y 0.496 0.496 0.508
W 0.250 0.250 0.250
Ru 0.750 0.750 0.750

No. 11
Crystalline Y2RuW at its relaxed geometry, computed with PBE-GGA.

Its space group is Immm, No. 71. The energy above the most stable polymorph in this dataset comes out at 402 meV per atom.

Unit cell a=5.670 b=5.670 c=5.670 alpha=145.46 beta=127.06 gamma=64.76
Atoms (fractional coordinates):
W 0.250 0.750 0.500
Y 0.979 0.979 0.000
Y 0.521 0.521 0.000
Ru 0.750 0.250 0.500

No. 12
Crystalline YRuW at its relaxed geometry, computed with PBE-GGA.

Its space group is F-43m, No. 216. The energy above the most stable polymorph in this dataset comes out at 1636 meV per atom.

Unit cell a=4.532 b=4.532 c=4.532 alpha=60.00 beta=60.00 gamma=60.00
Atoms (fractional coordinates):
W 0.500 0.500 0.500
Y 0.750 0.750 0.750
Ru 0.000 0.000 0.000

No. 13
Crystalline Y2RuW at its relaxed geometry, computed with PBE-GGA.

Its space group is R-3m, No. 166. The energy above the most stable polymorph in this dataset comes out at 467 meV per atom.

Unit cell a=9.429 b=9.429 c=9.429 alpha=19.75 beta=19.75 gamma=19.75
Atoms (fractional coordinates):
Y 0.994 0.994 0.994
Y 0.506 0.506 0.506
W 0.750 0.750 0.750
Ru 0.250 0.250 0.250

No. 14
Crystalline YRuW3 at its relaxed geometry, computed with PBE-GGA.

Its space group is Pm-3m, No. 221. The energy above the most stable polymorph in this dataset comes out at 1906 meV per atom.

Unit cell a=4.714 b=4.714 c=4.714 alpha=90.00 beta=90.00 gamma=90.00
Atoms (fractional coordinates):
Y 0.000 0.000 0.000
W 0.000 0.500 0.000
W 0.000 0.000 0.500
W 0.500 0.000 0.000
Ru 0.500 0.500 0.500

No. 15
Crystalline Y2RuW at its relaxed geometry, computed with PBE-GGA.

Its space group is C2/m, No. 12. The energy above the most stable polymorph in this dataset comes out at 430 meV per atom.

Unit cell a=5.809 b=5.490 c=3.123 alpha=78.91 beta=79.98 gamma=118.66
Atoms (fractional coordinates):
Ru 0.000 0.500 0.500
Y 0.000 0.000 0.000
Y 0.500 0.000 0.500
W 0.500 0.500 0.000

No. 16
Crystalline Y2Ru2W at its relaxed geometry, computed with PBE-GGA.

Its space group is P4/mbm, No. 127.

Unit cell a=6.610 b=6.610 c=4.700 alpha=90.00 beta=90.00 gamma=90.00
Atoms (fractional coordinates):
Ru 0.138 0.362 0.000
Ru 0.862 0.638 0.000
Ru 0.638 0.138 0.000
Ru 0.362 0.862 0.000
Y 0.320 0.180 0.500
Y 0.820 0.320 0.500
Y 0.180 0.680 0.500
Y 0.680 0.820 0.500
W 0.500 0.500 0.000
W 0.000 0.000 0.000

No. 17
Crystalline ZnRu2W at its relaxed geometry, computed with PBE-GGA.

Its space group is P2/m, No. 10.

Unit cell a=4.324 b=2.707 c=5.006 alpha=85.36 beta=90.00 gamma=90.00
Atoms (fractional coordinates):
Ru 0.000 0.500 0.509
Ru 0.000 0.000 0.991
Zn 0.500 0.750 0.750
W 0.500 0.250 0.250

No. 18
Crystalline ZnRu2W at its relaxed geometry, computed with PBE-GGA.

Its space group is C2/m, No. 12.

Unit cell a=4.577 b=4.577 c=4.859 alpha=81.29 beta=81.29 gamma=35.38
Atoms (fractional coordinates):
Ru 0.003 0.003 0.006
Ru 0.497 0.497 0.494
Zn 0.250 0.250 0.250
W 0.750 0.750 0.750

No. 19
Crystalline ZnRu2W at its relaxed geometry, computed with PBE-GGA.

Its space group is I-4m2, No. 119.

Unit cell a=4.949 b=4.949 c=4.949 alpha=136.02 beta=136.02 gamma=63.95
Atoms (fractional coordinates):
Zn 0.750 0.250 0.500
Ru 0.250 0.750 0.500
Ru 0.000 0.000 0.000
W 0.500 0.500 0.000

No. 20
Crystalline ZnRu3W at its relaxed geometry, computed with PBE-GGA.

Its space group is Pm-3m, No. 221. The energy above the most stable polymorph in this dataset comes out at 44 meV per atom.

Unit cell a=4.377 b=4.377 c=4.377 alpha=90.00 beta=90.00 gamma=90.00
Atoms (fractional coordinates):
Ru 0.000 0.500 0.000
Ru 0.000 0.000 0.500
Ru 0.500 0.000 0.000
W 0.500 0.500 0.500
Zn 0.000 0.000 0.000

No. 21
Crystalline ZnRu2W at its relaxed geometry, computed with PBE-GGA.

Its space group is I-42d, No. 122.

Unit cell a=6.883 b=6.883 c=5.607 alpha=52.13 beta=52.13 gamma=90.00
Atoms (fractional coordinates):
Ru 0.651 0.125 0.250
Ru 0.099 0.625 0.250
Ru 0.875 0.901 0.750
Ru 0.375 0.349 0.750
W 0.750 0.250 0.500
W 0.000 0.000 0.000
Zn 0.250 0.750 0.500
Zn 0.500 0.500 0.000

No. 22
Crystalline ZnRu2W at its relaxed geometry, computed with PBE-GGA.

Its space group is Cm, No. 8.

Unit cell a=4.986 b=4.986 c=4.418 alpha=69.21 beta=69.21 gamma=34.75
Atoms (fractional coordinates):
Zn 0.253 0.253 0.196
Ru 0.750 0.750 0.697
Ru 0.000 0.000 0.054
W 0.496 0.496 0.553

No. 23
Crystalline ZnRu3W at its relaxed geometry, computed with PBE-GGA.

Its space group is Pm-3m, No. 221. The energy above the most stable polymorph in this dataset comes out at 0 meV per atom.

Unit cell a=4.683 b=4.683 c=4.683 alpha=90.00 beta=90.00 gamma=90.00
Atoms (fractional coordinates):
Ru 0.000 0.000 0.500
Ru 0.500 0.000 0.000
Ru 0.000 0.500 0.000
Zn 0.500 0.500 0.500
W 0.000 0.000 0.000

No. 24
Crystalline ZnRu2W at its relaxed geometry, computed with PBE-GGA.

Its space group is Cmmm, No. 65.

Unit cell a=2.723 b=2.723 c=8.735 alpha=90.00 beta=90.00 gamma=113.68
Atoms (fractional coordinates):
Ru 0.000 0.000 0.499
Ru 0.000 0.000 0.001
Zn 0.500 0.500 0.750
W 0.500 0.500 0.250

No. 25
Crystalline ZnRu2W at its relaxed geometry, computed with PBE-GGA.

Its space group is P4/mmm, No. 123.

Unit cell a=3.095 b=3.095 c=6.053 alpha=90.00 beta=90.00 gamma=90.00
Atoms (fractional coordinates):
Ru 0.000 0.000 0.500
Ru 0.000 0.000 0.000
Zn 0.500 0.500 0.750
W 0.500 0.500 0.250

No. 26
Crystalline ZnRu2W at its relaxed geometry, computed with PBE-GGA.

Its space group is F-43m, No. 216.

Unit cell a=4.362 b=4.362 c=4.362 alpha=60.00 beta=60.00 gamma=60.00
Atoms (fractional coordinates):
Zn 0.750 0.750 0.750
Ru 0.000 0.000 0.000
Ru 0.250 0.250 0.250
W 0.500 0.500 0.500

No. 27
Crystalline ZnRu2W at its relaxed geometry, computed with PBE-GGA.

Its space group is P4/mmm, No. 123.

Unit cell a=4.296 b=4.296 c=3.134 alpha=90.00 beta=90.00 gamma=90.00
Atoms (fractional coordinates):
Zn 0.000 0.500 0.500
W 0.500 0.000 0.500
Ru 0.000 0.000 0.000
Ru 0.500 0.500 0.000

No. 28
Crystalline ZnRu2W at its relaxed geometry, computed with PBE-GGA.

Its space group is Pm, No. 6.

Unit cell a=4.025 b=2.760 c=5.906 alpha=62.11 beta=90.00 gamma=90.00
Atoms (fractional coordinates):
Ru 0.500 0.235 0.260
Ru 0.000 0.018 0.978
W 0.000 0.511 0.498
Zn 0.500 0.737 0.764

No. 29
Crystalline ZnRu2W at its relaxed geometry, computed with PBE-GGA.

Its space group is R-3m, No. 166.

Unit cell a=8.877 b=8.877 c=8.877 alpha=18.08 beta=18.08 gamma=18.08
Atoms (fractional coordinates):
Ru 0.500 0.500 0.500
Ru 0.000 0.000 0.000
W 0.250 0.250 0.250
Zn 0.750 0.750 0.750

No. 30
Crystalline ZnRu2W at its relaxed geometry, computed with PBE-GGA.

Its space group is Cm, No. 8.

Unit cell a=2.795 b=2.795 c=8.836 alpha=81.01 beta=81.01 gamma=60.08
Atoms (fractional coordinates):
Zn 0.500 0.500 0.500
W 0.666 0.666 0.000
Ru 0.084 0.084 0.751
Ru 0.250 0.250 0.249

no.,total magnetization (μB per formula unit),energy of formation (meV/atom)
1,0.00,202
2,0.00,425
3,0.00,375
4,0.00,442
5,0.00,376
6,0.00,136
7,0.00,478
8,0.00,131
9,0.00,323
10,0.00,570
11,0.00,440
12,1.80,1724
13,0.30,505
14,1.22,3289
15,0.00,469
16,0.00,-97
17,0.00,177
18,0.00,108
19,0.00,85
20,0.00,1603
21,0.00,593
22,0.00,74
23,1.55,1560
24,0.00,164
25,0.00,-94
26,0.71,406
27,0.00,-2
28,0.00,75
29,0.00,47
30,0.00,43